Crystalline Cu2SnAs at its relaxed geometry. Source: OQMD via LeMat-Bulk, functional PBE.

extended XYZ file:
```
16
Lattice="6.506 0.000 0.000 0.000 6.506 0.000 0.000 0.000 6.506" Properties=species:S:1:pos:R:3 pbc="T T T"
As 0.000 0.000 0.000
As 3.253 0.000 0.000
As 0.000 3.253 0.000
As 0.000 0.000 3.253
Cu 5.033 5.033 5.033
Cu 5.033 5.033 1.473
Cu 5.033 1.473 1.473
Cu 5.033 1.473 5.033
Cu 1.473 5.033 1.473
Cu 1.473 1.473 1.473
Cu 1.473 1.473 5.033
Cu 1.473 5.033 5.033
Sn 3.253 0.000 3.253
Sn 3.253 3.253 3.253
Sn 0.000 3.253 3.253
Sn 3.253 3.253 0.000
```

Properties
**Calculated density**: 7.7 Mg/m³
**SG**: Pm-3m, No. 221
**Total DFT energy (no corrections)**: -60.94 eV per cell

***

Crystalline Cu2SnAs2 at its relaxed geometry. Source: OQMD via LeMat-Bulk, functional PBE.

extended XYZ file:
```
5
Lattice="5.596 -2.038 -0.093 4.310 3.192 2.591 -5.438 -2.026 1.342" Properties=species:S:1:pos:R:3 pbc="T T T"
As 3.724 0.434 0.939
As 6.183 0.720 1.559
Cu 1.913 0.871 2.591
Cu 2.556 -1.744 1.250
Sn 0.000 0.000 0.000
```

Properties
**Calculated density**: 7.1 Mg/m³
**SG**: I4/mmm, No. 139
**Total DFT energy (no corrections)**: -20.31 eV per cell